(1)
Density functional theory data (PBE-GGA) for a geometry-optimized Ni2RuPt structure.

```
Ni2RuPt
1.0
4.223 0.000 0.000
2.112 3.658 0.000
2.112 1.219 3.448
Ni Pt Ru
2 1 1
Direct
0.000 0.000 0.000 Ni
0.750 0.750 0.750 Ni
0.500 0.500 0.500 Pt
0.250 0.250 0.250 Ru
```

**Space group**: F-43m
**Crystal system**: cubic
**Fermi-level density of states**: 6.28 states/eV/cell
**ΔH_f (0 K)**: 0.239 eV/atom
**Energy relative to the lowest polymorph listed for this composition**: 0.911 eV per formula unit

---

(2)
Density functional theory data (PBE-GGA) for a geometry-optimized Ni5RuPt8 structure.

```
Ni5RuPt8
1.0
-1.207 -5.493 3.175
0.824 -1.262 -6.280
5.359 2.701 2.389
Ni Ru Pt
5 1 8
Direct
0.027 0.319 0.116 Ni
0.884 0.912 0.203 Ni
0.797 0.681 0.708 Ni
0.500 0.000 0.500 Ni
0.292 0.088 0.973 Ni
0.250 0.500 0.750 Ru
0.139 0.721 0.071 Pt
0.929 0.068 0.650 Pt
0.755 0.266 0.354 Pt
0.646 0.401 0.912 Pt
0.510 0.599 0.245 Pt
0.582 0.932 0.861 Pt
0.350 0.279 0.418 Pt
0.088 0.734 0.490 Pt
```

**Space group**: I-4
**Crystal system**: tetragonal
**Fermi-level density of states**: 23.38 states/eV/cell
**ΔH_f (0 K)**: 0.196 eV/atom

---

(3)
Density functional theory data (PBE-GGA) for a geometry-optimized Ni2RuPt structure.

```
Ni2RuPt
1.0
-3.174 -2.069 2.147
0.988 -2.309 -0.765
2.716 -0.212 3.810
Ni Pt Ru
2 1 1
Direct
0.000 0.009 0.987 Ni
0.000 0.491 0.513 Ni
0.500 0.250 0.250 Pt
0.500 0.750 0.750 Ru
```

**Space group**: P2/m
**Crystal system**: monoclinic
**Fermi-level density of states**: 6.81 states/eV/cell
**ΔH_f (0 K)**: 0.193 eV/atom
**Energy relative to the lowest polymorph listed for this composition**: 0.727 eV per formula unit

---

(4)
Density functional theory data (PBE-GGA) for a geometry-optimized Ni2RuPt2 structure.

```
Ni2RuPt2
1.0
7.147 0.000 0.000
0.000 7.147 0.000
0.000 0.000 2.749
Ru Pt Ni
2 4 4
Direct
0.000 0.000 0.000 Ru
0.500 0.500 0.000 Ru
0.178 0.678 0.500 Pt
0.678 0.822 0.500 Pt
0.822 0.322 0.500 Pt
0.322 0.178 0.500 Pt
0.381 0.881 0.000 Ni
0.881 0.619 0.000 Ni
0.619 0.119 0.000 Ni
0.119 0.381 0.000 Ni
```

**Space group**: P4/mbm
**Crystal system**: tetragonal
**Fermi-level density of states**: 12.17 states/eV/cell
**ΔH_f (0 K)**: 0.197 eV/atom
**Energy relative to the lowest polymorph listed for this composition**: 0.000 eV per formula unit

---

(5)
Density functional theory data (PBE-GGA) for a geometry-optimized Ni2RuPt structure.

```
Ni2RuPt
1.0
2.667 0.000 0.000
0.000 2.667 0.000
0.000 0.000 7.265
Ru Pt Ni
1 1 2
Direct
0.500 0.500 0.750 Ru
0.500 0.500 0.250 Pt
0.000 0.000 0.991 Ni
0.000 0.000 0.509 Ni
```

**Space group**: P4/mmm
**Crystal system**: tetragonal
**Fermi-level density of states**: 5.22 states/eV/cell
**ΔH_f (0 K)**: 0.013 eV/atom
**Energy relative to the lowest polymorph listed for this composition**: 0.006 eV per formula unit

---

(6)
Density functional theory data (PBE-GGA) for a geometry-optimized NiRuPt4 structure.

```
NiRuPt4
1.0
-2.724 2.302 -0.358
-3.633 -2.127 -3.976
-2.544 0.584 5.169
Ni Ru Pt
1 1 4
Direct
0.000 0.000 0.000 Ni
0.500 0.500 0.500 Ru
0.256 0.391 0.097 Pt
0.256 0.097 0.391 Pt
0.744 0.609 0.903 Pt
0.744 0.903 0.609 Pt
```

**Space group**: Immm
**Crystal system**: orthorhombic
**Fermi-level density of states**: 8.26 states/eV/cell
**ΔH_f (0 K)**: 0.140 eV/atom
**Energy relative to the lowest polymorph listed for this composition**: 0.000 eV per formula unit

---

(7)
Density functional theory data (PBE-GGA) for a geometry-optimized Ni2RuPt structure.

```
Ni2RuPt
1.0
0.282 -0.975 4.052
-3.450 -0.894 2.178
-0.717 -3.917 1.261
Ru Pt Ni
1 1 2
Direct
0.000 0.000 0.000 Ru
0.500 0.500 0.500 Pt
0.250 0.250 0.250 Ni
0.750 0.750 0.750 Ni
```

**Space group**: Fm-3m
**Crystal system**: cubic
**Fermi-level density of states**: 6.54 states/eV/cell
**ΔH_f (0 K)**: 0.130 eV/atom
**Energy relative to the lowest polymorph listed for this composition**: 0.476 eV per formula unit

---

(8)
Density functional theory data (PBE-GGA) for a geometry-optimized Ni2RuPt structure.

```
Ni2RuPt
1.0
-1.768 -2.091 4.324
3.118 -0.039 4.059
-2.695 2.626 -3.469
Ni Pt Ru
2 1 1
Direct
0.006 0.006 0.000 Ni
0.494 0.494 0.000 Ni
0.750 0.250 0.500 Pt
0.250 0.750 0.500 Ru
```

**Space group**: Immm
**Crystal system**: orthorhombic
**Fermi-level density of states**: 6.11 states/eV/cell
**ΔH_f (0 K)**: 0.204 eV/atom
**Energy relative to the lowest polymorph listed for this composition**: 0.769 eV per formula unit

---

(9)
Density functional theory data (PBE-GGA) for a geometry-optimized Ni2RuPt structure.

```
Ni2RuPt
1.0
4.603 0.004 -0.002
1.652 4.296 0.002
-3.127 -2.152 2.604
Ru Pt Ni
1 1 2
Direct
0.250 0.750 0.500 Ru
0.500 0.500 0.000 Pt
0.000 0.000 0.000 Ni
0.750 0.250 0.500 Ni
```

**Space group**: I-4m2
**Crystal system**: tetragonal
**Fermi-level density of states**: 5.44 states/eV/cell
**ΔH_f (0 K)**: 0.011 eV/atom
**Energy relative to the lowest polymorph listed for this composition**: 0.000 eV per formula unit

---

(10)
Density functional theory data (PBE-GGA) for a geometry-optimized Ni2RuPt3 structure.

```
Ni2RuPt3
1.0
3.845 0.000 0.018
1.922 5.793 0.009
-0.035 0.000 7.484
Ni Ru Pt
4 2 6
Direct
0.000 0.000 0.000 Ni
0.000 0.000 0.500 Ni
0.334 0.332 0.500 Ni
0.666 0.668 0.500 Ni
0.330 0.341 0.000 Ru
0.670 0.659 0.000 Ru
0.835 0.331 0.743 Pt
0.500 0.000 0.252 Pt
0.165 0.669 0.257 Pt
0.834 0.331 0.257 Pt
0.166 0.669 0.743 Pt
0.500 0.000 0.748 Pt
```

**Space group**: Cmmm
**Crystal system**: orthorhombic
**Fermi-level density of states**: 19.23 states/eV/cell
**ΔH_f (0 K)**: -0.046 eV/atom

---

(11)
Density functional theory data (PBE-GGA) for a geometry-optimized Ni2RuPt structure.

```
Ni2RuPt
1.0
-6.741 -3.397 4.019
-6.250 -5.375 2.278
-4.917 -5.272 4.601
Ni Pt Ru
2 1 1
Direct
0.003 0.003 0.003 Ni
0.497 0.497 0.497 Ni
0.250 0.250 0.250 Pt
0.750 0.750 0.750 Ru
```

**Space group**: R-3m
**Crystal system**: trigonal
**Fermi-level density of states**: 6.29 states/eV/cell
**ΔH_f (0 K)**: 0.035 eV/atom
**Energy relative to the lowest polymorph listed for this composition**: 0.096 eV per formula unit

---

(12)
Density functional theory data (PBE-GGA) for a geometry-optimized Ni2Ru4Pt3 structure.

```
Ni2Ru4Pt3
1.0
3.668 -0.001 1.008
-0.420 5.869 1.538
0.332 0.223 5.974
Ni Ru Pt
2 4 3
Direct
0.776 0.665 0.448 Ni
0.224 0.335 0.552 Ni
0.327 0.008 0.346 Ru
0.880 0.324 0.241 Ru
0.120 0.676 0.759 Ru
0.673 0.992 0.654 Ru
0.560 0.337 0.879 Pt
0.000 0.000 0.000 Pt
0.440 0.663 0.121 Pt
```

**Space group**: C2/m
**Crystal system**: monoclinic
**Fermi-level density of states**: 9.80 states/eV/cell
**ΔH_f (0 K)**: 0.011 eV/atom

---

(13)
Density functional theory data (PBE-GGA) for a geometry-optimized Ni2RuPt structure.

```
Ni2RuPt
1.0
2.682 0.000 0.000
0.000 4.576 0.000
0.000 0.000 4.397
Ni Pt Ru
2 1 1
Direct
0.000 0.000 0.000 Ni
0.500 0.500 0.000 Ni
0.500 0.000 0.500 Pt
0.000 0.500 0.500 Ru
```

**Space group**: Pmmm
**Crystal system**: orthorhombic
**Fermi-level density of states**: 5.64 states/eV/cell
**ΔH_f (0 K)**: 0.216 eV/atom
**Energy relative to the lowest polymorph listed for this composition**: 0.820 eV per formula unit

---

(14)
Density functional theory data (PBE-GGA) for a geometry-optimized Ni2RuPt structure.

```
Ni2RuPt
1.0
-1.536 3.608 -0.163
-0.376 -0.277 -2.605
-4.780 -2.072 -0.825
Ni Pt Ru
2 1 1
Direct
0.000 0.118 0.990 Ni
0.500 0.123 0.252 Ni
0.000 0.468 0.483 Pt
0.500 0.791 0.774 Ru
```

**Space group**: Pm
**Crystal system**: monoclinic
**Fermi-level density of states**: 6.89 states/eV/cell
**ΔH_f (0 K)**: 0.084 eV/atom
**Energy relative to the lowest polymorph listed for this composition**: 0.289 eV per formula unit

---

(15)
Density functional theory data (PBE-GGA) for a geometry-optimized Ni2RuPt structure.

```
Ni2RuPt
1.0
-2.921 1.738 2.964
0.271 -4.421 0.844
1.994 0.447 1.702
Ni Pt Ru
2 1 1
Direct
0.000 0.000 0.000 Ni
0.500 0.500 0.000 Ni
0.500 0.000 0.500 Pt
0.000 0.500 0.500 Ru
```

**Space group**: Cmmm
**Crystal system**: orthorhombic
**Fermi-level density of states**: 7.09 states/eV/cell
**ΔH_f (0 K)**: 0.069 eV/atom
**Energy relative to the lowest polymorph listed for this composition**: 0.231 eV per formula unit

---

(16)
Density functional theory data (PBE-GGA) for a geometry-optimized NiRuPt14 structure.

```
NiRuPt14
1.0
5.551 -0.336 0.000
-2.485 4.976 0.000
0.000 0.000 9.206
Ni Ru Pt
1 1 14
Direct
0.543 0.457 0.500 Ni
0.042 0.958 0.500 Ru
0.207 0.793 0.000 Pt
0.707 0.293 0.000 Pt
0.044 0.456 0.500 Pt
0.208 0.293 0.000 Pt
0.544 0.956 0.500 Pt
0.707 0.792 0.000 Pt
0.374 0.127 0.741 Pt
0.374 0.127 0.259 Pt
0.873 0.626 0.741 Pt
0.873 0.626 0.259 Pt
0.376 0.624 0.746 Pt
0.376 0.624 0.254 Pt
0.876 0.124 0.746 Pt
0.876 0.124 0.254 Pt
```

**Space group**: Amm2
**Crystal system**: orthorhombic
**Fermi-level density of states**: 29.78 states/eV/cell
**ΔH_f (0 K)**: 0.018 eV/atom

---

(17)
Density functional theory data (PBE-GGA) for a geometry-optimized NiRuPt6 structure.

```
NiRuPt6
1.0
3.768 0.000 1.029
1.726 4.351 1.093
0.031 -0.039 7.302
Ni Ru Pt
1 1 6
Direct
0.000 0.500 0.500 Ni
0.000 0.000 0.000 Ru
0.251 0.875 0.623 Pt
0.501 0.248 0.750 Pt
0.247 0.378 0.128 Pt
0.499 0.752 0.250 Pt
0.749 0.125 0.377 Pt
0.753 0.622 0.872 Pt
```

**Space group**: C2/m
**Crystal system**: monoclinic
**Fermi-level density of states**: 13.91 states/eV/cell
**ΔH_f (0 K)**: -0.024 eV/atom

---

(18)
Density functional theory data (PBE-GGA) for a geometry-optimized NiRuPt4 structure.

```
NiRuPt4
1.0
4.528 1.672 1.919
0.465 4.899 1.664
0.464 0.985 5.079
Ni Ru Pt
1 1 4
Direct
0.000 0.000 0.000 Ni
0.750 0.750 0.750 Ru
0.875 0.375 0.375 Pt
0.375 0.375 0.875 Pt
0.375 0.875 0.375 Pt
0.375 0.375 0.375 Pt
```

**Space group**: F-43m
**Crystal system**: cubic
**Fermi-level density of states**: 4.79 states/eV/cell
**ΔH_f (0 K)**: 0.417 eV/atom
**Energy relative to the lowest polymorph listed for this composition**: 1.661 eV per formula unit

---

(19)
Density functional theory data (PBE-GGA) for a geometry-optimized NiRu3Pt structure.

```
NiRu3Pt
1.0
4.400 0.000 0.000
0.000 4.400 0.000
0.000 0.000 4.400
Ru Pt Ni
3 1 1
Direct
0.000 0.500 0.000 Ru
0.000 0.000 0.500 Ru
0.500 0.000 0.000 Ru
0.500 0.500 0.500 Pt
0.000 0.000 0.000 Ni
```

**Space group**: Pm-3m
**Crystal system**: cubic
**Fermi-level density of states**: 7.59 states/eV/cell
**ΔH_f (0 K)**: 1.472 eV/atom
**Energy relative to the lowest polymorph listed for this composition**: 0.000 eV per formula unit

---

(20)
Density functional theory data (PBE-GGA) for a geometry-optimized NiRu2Pt3 structure.

```
NiRu2Pt3
1.0
4.988 0.000 0.000
0.000 4.831 -2.465
0.000 0.605 7.152
Ni Ru Pt
2 4 6
Direct
0.750 0.350 0.700 Ni
0.250 0.650 0.300 Ni
0.000 0.720 0.000 Ru
0.500 0.280 0.000 Ru
0.000 0.280 0.000 Ru
0.500 0.720 0.000 Ru
0.750 0.859 0.718 Pt
0.250 0.141 0.282 Pt
0.750 0.927 0.357 Pt
0.250 0.073 0.643 Pt
0.750 0.430 0.357 Pt
0.250 0.570 0.643 Pt
```

**Space group**: Cmcm
**Crystal system**: orthorhombic
**Fermi-level density of states**: 17.68 states/eV/cell
**ΔH_f (0 K)**: 0.186 eV/atom